Crystalline SrSiTeO6 at its relaxed geometry. Source: Alexandria via LeMat-Bulk, functional PBE.

Calculated values
Density of states at the Fermi level ... 0.0 states/eV per cell
E_form (uncorrected) ... -2.12 eV per atom
Crystal system ... trigonal
Total magnetization ... 0.000 μB/f.u.

Cell lengths 5.0131, 5.0131, 10.9605 Å; angles 90.00, 90.00, 120.00 degrees
Closest atoms and distances in Å follow each position.
Space group P-31c (No. 163)
Unique sites:
Sr (0.0000, 0.0000, 0.0000) x2  6 O 2.55
Si (0.3333, 0.6667, 0.2500) x2  6 O 1.82
Te (0.3333, 0.6667, 0.7500) x2  6 O 1.95
O (0.0199, 0.3926, 0.1535) x12  1 Si 1.82, 1 Te 1.95

Crystalline BaMgIn2 at its relaxed geometry. Source: Alexandria via LeMat-Bulk, functional PBE.

Calculated values
Formation energy ... -0.282 eV per atom
Density of states at the Fermi level ... 2.0 states/eV per cell
Crystal system ... tetragonal
Total magnetization ... 0.000 μB/f.u.

Cell lengths 3.8549, 3.8549, 8.1045 Å; angles 90.00, 90.00, 90.00 degrees
Closest atoms and distances in Å follow each position.
Space group P4/mmm (No. 123)
Unique sites:
Ba (0.0000, 0.0000, 0.0000) x1  8 In 3.68, 4 Ba 3.85, 2 Mg 4.05
Mg (0.0000, 0.0000, 0.5000) x1  8 In 3.15
In (0.5000, 0.5000, 0.3048) x2  4 Mg 3.15, 1 In 3.16

Crystalline HoEr5Sn6 at its relaxed geometry. Source: Alexandria via LeMat-Bulk, functional PBE.

Calculated values
Formation energy ... -0.600 eV per atom
Density of states at the Fermi level ... 11.2 states/eV per cell
Crystal system ... monoclinic
Total magnetization ... 0.000 μB/f.u.

Cell lengths 5.6537, 13.9214, 8.4732 Å; angles 90.00, 102.06, 90.00 degrees
Closest atoms and distances in Å follow each position.
Space group C2/m (No. 12)
Unique sites:
Ho (0.0000, 0.0000, 0.0000) x2  6 Sn 3.15-3.17
Er (0.0000, 0.0000, 0.5000) x2  6 Sn 3.14-3.15
Er (0.0000, 0.3328, 0.0000) x4  6 Sn 3.14-3.16
Er (0.0000, 0.3339, 0.5000) x4  6 Sn 3.14-3.16
Sn (0.0006, 0.1669, 0.7493) x8  5 Er 3.14-3.16, 1 Ho 3.15
Sn (0.0028, 0.5000, 0.2493) x4  5 Er 3.14-3.15, 1 Ho 3.17